Record 1
# ZrP2

A relaxed ZrP2 crystal (GGA-PBE, Alexandria via LeMat-Bulk).

Cell: 4.9615 4.6857 8.4052 Å, 90.00 90.00 90.00°
Fractional positions:
Zr  0.1412  0.2500  0.1189
Zr  0.3588  0.7500  0.6189
Zr  0.6412  0.2500  0.3811
Zr  0.8588  0.7500  0.8811
P  0.1224  0.2500  0.7657
P  0.1484  0.2500  0.4885
P  0.3516  0.7500  0.9885
P  0.3776  0.7500  0.2657
P  0.6224  0.2500  0.7343
P  0.6484  0.2500  0.0115
P  0.8516  0.7500  0.5115
P  0.8776  0.7500  0.2343

Computed properties:
- raw total energy (eV/cell) = -85.778
- space-group type = Pnma

---

Record 2
# ZrP

A relaxed ZrP crystal (GGA-PBE, Alexandria via LeMat-Bulk).

Cell: 6.5207 6.5207 6.5207 Å, 98.98 98.98 133.45°
Fractional positions:
Zr  0.1162  0.3252  0.4415
Zr  0.3252  0.8838  0.2090
Zr  0.6748  0.1162  0.7910
Zr  0.8838  0.6748  0.5585
P  0.2058  0.6048  0.8106
P  0.3952  0.2058  0.6010
P  0.6048  0.7942  0.3990
P  0.7942  0.3952  0.1894

Computed properties:
- raw total energy (eV/cell) = -64.416
- space-group type = I4/m

---

Record 3
# ZrP3

A relaxed ZrP3 crystal (GGA-PBE, Alexandria via LeMat-Bulk).

Cell: 3.6618 3.2485 5.8181 Å, 90.00 107.79 90.00°
Fractional positions:
Zr  0.0000  0.0000  0.0000
P  0.0000  0.0000  0.5000
P  0.3766  0.5000  0.7586
P  0.6234  0.5000  0.2414

Computed properties:
- raw total energy (eV/cell) = -26.585
- space-group type = P2/m

---

Record 4
# Zr8P

A relaxed Zr8P crystal (GGA-PBE, Alexandria via LeMat-Bulk).

Cell: 7.0630 7.0630 7.0630 Å, 95.23 95.23 144.85°
Fractional positions:
Zr  0.0000  0.3270  0.3270
Zr  0.0000  0.6730  0.6730
Zr  0.3270  0.0000  0.3270
Zr  0.3437  0.3437  0.6874
Zr  0.3437  0.6563  0.0000
Zr  0.6563  0.3437  0.0000
Zr  0.6563  0.6563  0.3126
Zr  0.6730  0.0000  0.6730
P  0.0000  0.0000  0.0000

Computed properties:
- raw total energy (eV/cell) = -75.328
- space-group type = I4/mmm

---

Record 5
# ZrP

A relaxed ZrP crystal (GGA-PBE, Alexandria via LeMat-Bulk).

Cell: 3.9617 3.9617 11.6370 Å, 90.00 90.00 120.00°
Fractional positions:
Zr  0.3333  0.6667  0.1190
Zr  0.3333  0.6667  0.3810
Zr  0.6667  0.3333  0.6190
Zr  0.6667  0.3333  0.8810
P  0.0000  0.0000  0.2500
P  0.0000  0.0000  0.7500
P  0.3333  0.6667  0.7500
P  0.6667  0.3333  0.2500

Computed properties:
- raw total energy (eV/cell) = -58.182
- space-group type = P6_3/mmc

---

Record 6
# Zr3P4

A relaxed Zr3P4 crystal (GGA-PBE, Alexandria via LeMat-Bulk).

Cell: 10.5015 10.5015 10.5015 Å, 160.30 160.30 28.00°
Fractional positions:
Zr  0.0000  0.0000  0.0000
Zr  0.3046  0.3046  0.0000
Zr  0.6954  0.6954  0.0000
P  0.1699  0.1699  0.0000
P  0.4426  0.4426  0.0000
P  0.5574  0.5574  0.0000
P  0.8301  0.8301  0.0000

Computed properties:
- ΔE to the lowest computed polymorph (meV/atom) = 0.0
- raw total energy (eV/cell) = -53.833
- space-group type = I4/mmm

---

Record 7
# Zr2P

A relaxed Zr2P crystal (GGA-PBE, Alexandria via LeMat-Bulk).

Cell: 3.5756 3.5756 5.6720 Å, 90.00 90.00 120.00°
Fractional positions:
Zr  0.3333  0.6667  0.2755
Zr  0.6667  0.3333  0.7245
P  0.0000  0.0000  0.0000

Computed properties:
- raw total energy (eV/cell) = -25.178
- space-group type = P-3m1

---

Record 8
# ZrP5

A relaxed ZrP5 crystal (GGA-PBE, Alexandria via LeMat-Bulk).

Cell: 3.4654 7.5655 7.5655 Å, 33.64 90.00 90.00°
Fractional positions:
Zr  0.0000  0.0000  0.0000
P  0.0000  0.3538  0.3538
P  0.0000  0.6083  0.6083
P  0.5000  0.1374  0.1374
P  0.5000  0.4508  0.4508
P  0.5000  0.7092  0.7092

Computed properties:
- raw total energy (eV/cell) = -36.679
- space-group type = Amm2

---

Record 9
# Zr5P4

A relaxed Zr5P4 crystal (GGA-PBE, Alexandria via LeMat-Bulk).

Cell: 7.8141 7.8141 7.8141 Å, 93.04 93.04 153.37°
Fractional positions:
Zr  0.0000  0.0000  0.0000
Zr  0.3360  0.3360  0.6721
Zr  0.3360  0.6640  0.0000
Zr  0.6640  0.3360  0.0000
Zr  0.6640  0.6640  0.3279
P  0.0000  0.2477  0.2477
P  0.0000  0.7523  0.7523
P  0.2477  0.0000  0.2477
P  0.7523  0.0000  0.7523

Computed properties:
- ΔE to the lowest computed polymorph (meV/atom) = 382.0
- raw total energy (eV/cell) = -71.380
- space-group type = I4/mmm

---

Record 10
# ZrP

A relaxed ZrP crystal (GGA-PBE, Alexandria via LeMat-Bulk).

Cell: 8.6104 8.6104 8.6104 Å, 25.16 25.16 25.16°
Fractional positions:
Zr  0.1109  0.1109  0.1109
Zr  0.8891  0.8891  0.8891
P  0.3944  0.3944  0.3944
P  0.6056  0.6056  0.6056

Computed properties:
- raw total energy (eV/cell) = -28.755
- space-group type = R-3m

---

Record 11
# Zr2P

A relaxed Zr2P crystal (GGA-PBE, Alexandria via LeMat-Bulk).

Cell: 6.8969 6.8969 5.2648 Å, 90.00 90.00 150.14°
Fractional positions:
Zr  0.0442  0.9558  0.7500
Zr  0.3226  0.6774  0.7500
Zr  0.6774  0.3226  0.2500
Zr  0.9558  0.0442  0.2500
P  0.3178  0.6822  0.2500
P  0.6822  0.3178  0.7500

Computed properties:
- raw total energy (eV/cell) = -50.402
- space-group type = Cmcm

---

Record 12
# ZrP4

A relaxed ZrP4 crystal (GGA-PBE, Alexandria via LeMat-Bulk).

Cell: 5.2708 5.2708 5.2708 Å, 95.82 95.82 142.85°
Fractional positions:
Zr  0.0000  0.0000  0.0000
P  0.1978  0.3441  0.5418
P  0.3441  0.8022  0.1463
P  0.6559  0.1978  0.8537
P  0.8022  0.6559  0.4582

Computed properties:
- ΔE to the lowest computed polymorph (meV/atom) = 0.0
- raw total energy (eV/cell) = -31.831
- space-group type = I4/m

---

Record 13
# ZrP3

A relaxed ZrP3 crystal (GGA-PBE, Alexandria via LeMat-Bulk).

Cell: 6.7338 6.7338 6.7338 Å, 29.74 29.74 29.74°
Fractional positions:
Zr  0.0000  0.0000  0.0000
P  0.2395  0.2395  0.2395
P  0.5000  0.5000  0.5000
P  0.7605  0.7605  0.7605

Computed properties:
- raw total energy (eV/cell) = -26.118
- space-group type = R-3m

---

Record 14
# Zr2P

A relaxed Zr2P crystal (GGA-PBE, Alexandria via LeMat-Bulk).

Cell: 5.5094 5.5094 10.3457 Å, 90.00 90.00 120.00°
Fractional positions:
Zr  0.0000  0.0000  0.0000
Zr  0.0000  0.0000  0.5000
Zr  0.1669  0.3338  0.2500
Zr  0.1669  0.8331  0.2500
Zr  0.3338  0.1669  0.7500
Zr  0.6662  0.8331  0.2500
Zr  0.8331  0.1669  0.7500
Zr  0.8331  0.6662  0.7500
P  0.3333  0.6667  0.6387
P  0.3333  0.6667  0.8613
P  0.6667  0.3333  0.1387
P  0.6667  0.3333  0.3613

Computed properties:
- raw total energy (eV/cell) = -86.764
- space-group type = P6_3/mmc

---

Record 15
# Zr2P

A relaxed Zr2P crystal (GGA-PBE, Alexandria via LeMat-Bulk).

Cell: 4.7570 4.7570 5.6113 Å, 90.00 90.00 120.00°
Fractional positions:
Zr  0.0000  0.0000  0.0000
Zr  0.0000  0.0000  0.5000
Zr  0.3333  0.6667  0.2500
Zr  0.6667  0.3333  0.7500
P  0.3333  0.6667  0.7500
P  0.6667  0.3333  0.2500

Computed properties:
- raw total energy (eV/cell) = -49.219
- space-group type = P6_3/mmc

---

Record 16
# ZrP

A relaxed ZrP crystal (GGA-PBE, Alexandria via LeMat-Bulk).

Cell: 3.5695 3.5695 7.0251 Å, 90.00 90.00 120.00°
Fractional positions:
Zr  0.3333  0.6667  0.1915
Zr  0.6667  0.3333  0.8085
P  0.3333  0.6667  0.5867
P  0.6667  0.3333  0.4133

Computed properties:
- raw total energy (eV/cell) = -29.301
- space-group type = P-3m1

---

Record 17
# Zr2P

A relaxed Zr2P crystal (GGA-PBE, Alexandria via LeMat-Bulk).

Cell: 4.2978 4.2978 3.3919 Å, 90.00 90.00 90.00°
Fractional positions:
Zr  0.0000  0.5000  0.0000
Zr  0.5000  0.0000  0.0000
P  0.0000  0.0000  0.5000

Computed properties:
- raw total energy (eV/cell) = -24.428
- space-group type = P4/mmm

---

Record 18
# ZrP2

A relaxed ZrP2 crystal (GGA-PBE, Alexandria via LeMat-Bulk).

Cell: 10.5442 10.5442 10.5442 Å, 160.84 160.84 27.22°
Fractional positions:
Zr  0.3750  0.6250  0.7500
Zr  0.6250  0.3750  0.2500
P  0.0696  0.8196  0.2500
P  0.1804  0.9304  0.2500
P  0.8196  0.0696  0.7500
P  0.9304  0.1804  0.7500

Computed properties:
- raw total energy (eV/cell) = -42.184
- space-group type = I4_1/amd

---

Record 19
# ZrP3

A relaxed ZrP3 crystal (GGA-PBE, Alexandria via LeMat-Bulk).

Cell: 3.4148 3.4148 6.8959 Å, 90.00 90.00 120.00°
Fractional positions:
Zr  0.0000  0.0000  0.0000
P  0.0000  0.0000  0.5000
P  0.3333  0.6667  0.2633
P  0.3333  0.6667  0.7367

Computed properties:
- raw total energy (eV/cell) = -25.458
- space-group type = P-6m2

---

Record 20
# ZrP

A relaxed ZrP crystal (GGA-PBE, Alexandria via LeMat-Bulk).

Cell: 4.6428 4.6428 4.6428 Å, 60.00 60.00 60.00°
Fractional positions:
Zr  0.1250  0.1250  0.1250
Zr  0.8750  0.8750  0.8750
P  0.3750  0.3750  0.3750
P  0.6250  0.6250  0.6250

Computed properties:
- raw total energy (eV/cell) = -28.282
- space-group type = Fd-3m

---

Record 21
# ZrP3

A relaxed ZrP3 crystal (GGA-PBE, Alexandria via LeMat-Bulk).

Cell: 5.0469 5.0469 5.0469 Å, 90.00 90.00 90.00°
Fractional positions:
Zr  0.0000  0.0000  0.0000
P  0.0000  0.0000  0.5000
P  0.0000  0.5000  0.0000
P  0.5000  0.0000  0.0000

Computed properties:
- raw total energy (eV/cell) = -22.551
- space-group type = Pm-3m

---

Record 22
# Zr3P4

A relaxed Zr3P4 crystal (GGA-PBE, Alexandria via LeMat-Bulk).

Cell: 5.9015 5.9015 4.2994 Å, 90.00 90.00 120.00°
Fractional positions:
Zr  0.0000  0.5000  0.0000
Zr  0.5000  0.0000  0.0000
Zr  0.5000  0.5000  0.0000
P  0.0000  0.0000  0.2549
P  0.0000  0.0000  0.7451
P  0.3333  0.6667  0.5000
P  0.6667  0.3333  0.5000

Computed properties:
- ΔE to the lowest computed polymorph (meV/atom) = 501.8
- raw total energy (eV/cell) = -50.320
- space-group type = P6/mmm

---

Record 23
# ZrP2

A relaxed ZrP2 crystal (GGA-PBE, Alexandria via LeMat-Bulk).

Cell: 5.0172 5.0172 6.4600 Å, 90.29 90.29 42.88°
Fractional positions:
Zr  0.0000  0.0000  0.0000
Zr  0.7466  0.7466  0.6033
P  0.0409  0.0409  0.6186
P  0.2842  0.2842  0.9582
P  0.3579  0.3579  0.3001
P  0.5871  0.5871  0.2594

Computed properties:
- raw total energy (eV/cell) = -42.628
- space-group type = Cm

---

Record 24
# Zr3P2

A relaxed Zr3P2 crystal (GGA-PBE, Alexandria via LeMat-Bulk).

Cell: 7.3891 5.4188 7.9678 Å, 63.71 41.11 75.19°
Fractional positions:
Zr  0.0000  0.0000  0.0000
Zr  0.2500  0.2500  0.2500
Zr  0.2665  0.6224  0.5156
Zr  0.6224  0.2665  0.5955
Zr  0.6545  0.7344  0.6276
Zr  0.7344  0.6545  0.9835
P  0.1261  0.4725  0.9753
P  0.2747  0.8240  0.1239
P  0.4725  0.1261  0.4260
P  0.8240  0.2747  0.7775

Computed properties:
- ΔE to the lowest computed polymorph (meV/atom) = 209.9
- raw total energy (eV/cell) = -81.887
- space-group type = Fdd2

---

Record 25
# Zr2P

A relaxed Zr2P crystal (GGA-PBE, Alexandria via LeMat-Bulk).

Cell: 7.1812 7.1812 3.7796 Å, 90.00 90.00 120.00°
Fractional positions:
Zr  0.0000  0.2544  0.0000
Zr  0.0000  0.5903  0.5000
Zr  0.2544  0.0000  0.0000
Zr  0.4097  0.4097  0.5000
Zr  0.5903  0.0000  0.5000
Zr  0.7456  0.7456  0.0000
P  0.0000  0.0000  0.5000
P  0.3333  0.6667  0.0000
P  0.6667  0.3333  0.0000

Computed properties:
- raw total energy (eV/cell) = -76.836
- space-group type = P-62m

---

Record 26
# ZrP2

A relaxed ZrP2 crystal (GGA-PBE, Alexandria via LeMat-Bulk).

Cell: 3.1940 3.1940 5.6864 Å, 90.00 90.00 120.00°
Fractional positions:
Zr  0.0000  0.0000  0.0000
P  0.3333  0.6667  0.3668
P  0.6667  0.3333  0.6332

Computed properties:
- raw total energy (eV/cell) = -20.272
- space-group type = P-3m1